Record 1
Below is an optimized crystal structure of ScHPd3, with properties calculated at the GGA-PBE level.

a b c (Å): 7.4786 7.4786 5.0724
angles (deg): 91.89 91.89 100.90
Last column: nearest neighbours and their distance in Å.
Positions (direct):
Sc: 0.0636 0.2325 0.0712  7 Pd 2.65-2.88
Sc: 0.2325 0.0636 0.5712  7 Pd 2.65-2.88
Sc: 0.7675 0.9364 0.4288  7 Pd 2.65-2.88
Sc: 0.9364 0.7675 0.9288  7 Pd 2.65-2.88
H: 0.2810 0.7190 0.2500  4 Pd 1.92-1.99
H: 0.4773 0.5227 0.7500  4 Pd 1.88-2.05
H: 0.5227 0.4773 0.2500  4 Pd 1.88-2.05
H: 0.7190 0.2810 0.7500  4 Pd 1.92-1.99
Pd: 0.0523 0.6973 0.4196  1 H 1.92
Pd: 0.1955 0.5700 0.9226  1 H 1.99
Pd: 0.3027 0.9477 0.0804  1 H 1.92
Pd: 0.3043 0.4303 0.4323  2 H 1.88-2.05
Pd: 0.4303 0.3043 0.9323  2 H 1.88-2.05
Pd: 0.4300 0.8045 0.5774  1 H 1.99
Pd: 0.5700 0.1955 0.4226  1 H 1.99
Pd: 0.5697 0.6957 0.0677  2 H 1.88-2.05
Pd: 0.6957 0.5697 0.5677  2 H 1.88-2.05
Pd: 0.6973 0.0523 0.9196  1 H 1.92
Pd: 0.8045 0.4300 0.0774  1 H 1.99
Pd: 0.9477 0.3027 0.5804  1 H 1.92

Calculated values
Total magnetic moment: 0.00 μB per atom
Volume: 70 Å³/f.u.
Excess energy over the best structure of this formula in the dataset: 234 meV per atom

***

Record 2
Below is an optimized crystal structure of Er8Al2Cu, with properties calculated at the GGA-PBE level.

a b c (Å): 9.3839 9.3839 6.5651
angles (deg): 102.45 102.45 30.89
Last column: nearest neighbours and their distance in Å.
Positions (direct):
Er: 0.0205 0.0205 0.2741  2 Cu 2.97, 1 Al 3.09, 1 Er 3.21
Er: 0.2079 0.2079 0.8004  3 Al 3.04-3.18, 2 Er 3.31
Er: 0.3485 0.3485 0.5296  1 Cu 2.79, 3 Al 3.04-3.06
Er: 0.4063 0.4063 0.0413  1 Cu 3.11, 3 Er 3.29-3.38, 2 Al 3.37
Er: 0.5937 0.5937 0.9587  1 Cu 3.11, 3 Er 3.29-3.38, 2 Al 3.37
Er: 0.6515 0.6515 0.4704  1 Cu 2.79, 3 Al 3.04-3.06
Er: 0.7921 0.7921 0.1996  3 Al 3.04-3.18, 2 Er 3.31
Er: 0.9795 0.9795 0.7259  2 Cu 2.97, 1 Al 3.09, 1 Er 3.21
Al: 0.1888 0.1888 0.2491  9 Er 3.04-3.37
Al: 0.8112 0.8112 0.7509  9 Er 3.04-3.37
Cu: 0.5000 0.5000 0.5000  8 Er 2.79-3.11

Calculated values
Total magnetic moment: 0.00 μB per atom
Volume: 289 Å³/f.u.
Formation energy: -0.160 eV/atom